(one)
Entry from the Alexandria database: a geometry-optimized Zr4Mo5 structure (PBE-GGA).

Structure (extended XYZ):
```
9
Lattice="-1.3166 -2.0406 -6.8744 1.3953 -1.2602 7.0442 -7.0075 1.5544 1.2782" Properties=species:S:1:pos:R:3 pbc="T T T"
Zr -5.7153 -0.3338 -3.8423
Zr -2.6088 -0.1524 -1.7539
Zr -1.7589 0.0922 2.6083
Zr -3.8533 0.2020 5.7140
Mo -0.4085 -1.7793 -2.2135
Mo 0.4871 -1.5215 2.3832
Mo 0.0000 0.0000 0.0000
Mo -4.6669 -0.0643 0.9129
Mo -2.2619 -1.6821 0.5350
```

Space-group type: I4/mmm (139)
Magnetic moment: 0.0 μB/cell

(two)
Entry from the Alexandria database: a geometry-optimized Zr4Mo5 structure (PBE-GGA).

Structure (extended XYZ):
```
18
Lattice="8.4814 0.0000 0.0000 4.2407 7.3451 0.0000 0.0000 0.0000 5.4064" Properties=species:S:1:pos:R:3 pbc="T T T"
Zr 0.0000 0.0000 2.7032
Zr 1.5602 2.7024 4.0548
Zr 0.0000 0.0000 0.0000
Zr 2.6805 4.6428 1.3516
Zr 5.3610 0.0000 4.0548
Zr 5.8009 4.6428 4.0548
Zr 6.9212 2.7024 1.3516
Zr 3.1204 0.0000 1.3516
Mo 5.8579 0.0000 1.3516
Mo 4.2407 2.4484 0.0000
Mo 1.3118 2.2721 1.3516
Mo 2.6236 0.0000 4.0548
Mo 7.1697 2.2721 4.0548
Mo 2.9289 5.0731 4.0548
Mo 8.4814 4.8968 0.0000
Mo 4.2407 2.4484 2.7032
Mo 5.5525 5.0731 1.3516
Mo 8.4814 4.8968 2.7032
```

Space-group type: P6_3/mcm (193)
Magnetic moment: 0.0 μB/cell

Verdict on stability: (two) comes out at the bottom.

(one)
Entry from the Alexandria database: a geometry-optimized Zr5Mo4 structure (PBE-GGA).

Structure (extended XYZ):
```
18
Lattice="-8.2735 -0.6385 -0.0109 -3.8444 -4.2106 6.0291 -0.3867 4.9554 3.2142" Properties=species:S:1:pos:R:3 pbc="T T T"
Zr -4.0393 -1.6163 2.0061
Zr -4.2326 0.8614 3.6132
Zr -3.0545 0.6888 6.7461
Zr -5.1852 -1.9683 5.1360
Zr -2.6141 3.5372 2.4076
Zr -6.0461 0.7797 0.7957
Zr -8.0786 -3.2327 4.0121
Zr -8.2719 -0.7550 5.6192
Zr -1.1766 0.0561 2.4972
Zr -7.3193 2.0747 4.0964
Mo -3.2277 0.9972 0.7994
Mo -6.6940 -0.7514 3.0784
Mo -2.4862 -1.3783 4.5510
Mo -0.1933 2.4777 1.6071
Mo -5.8105 0.8578 6.1540
Mo -5.4325 3.3197 2.4039
Mo -1.7449 2.1231 4.6923
Mo 0.0000 0.0000 0.0000
```

Space-group type: P6_3/mcm (193)
Magnetic moment: 0.0 μB/cell

(two)
Entry from the Alexandria database: a geometry-optimized Zr5Mo4 structure (PBE-GGA).

Structure (extended XYZ):
```
9
Lattice="-5.1396 5.1396 1.6354 5.1396 -5.1396 1.6354 5.1396 5.1396 -1.6354" Properties=species:S:1:pos:R:3 pbc="T T T"
Zr 3.4058 3.4058 0.0000
Zr 1.7338 -1.7338 1.6354
Zr -1.7338 1.7338 1.6354
Zr 1.7338 1.7338 1.6354
Zr 0.0000 0.0000 0.0000
Mo 6.6774 0.0000 0.0000
Mo 3.6017 0.0000 0.0000
Mo 0.0000 6.6774 0.0000
Mo 0.0000 3.6017 0.0000
```

Space-group type: I4/mmm (139)
Magnetic moment: 0.0 μB/cell

Verdict on stability: (one) comes out at the bottom.

(one)
Entry from the Alexandria database: a geometry-optimized Zr4Mo structure (PBE-GGA).

Structure (extended XYZ):
```
5
Lattice="5.0319 0.0000 0.0000 0.0000 5.0319 0.0000 0.0000 0.0000 5.0319" Properties=species:S:1:pos:R:3 pbc="T T T"
Zr 0.0000 2.5160 2.5160
Zr 2.5160 0.0000 2.5160
Zr 0.0000 0.0000 0.0000
Zr 2.5160 2.5160 0.0000
Mo 2.5160 2.5160 2.5160
```

Space-group type: Pm-3m (221)
Magnetic moment: 0.0 μB/cell

(two)
Entry from the Alexandria database: a geometry-optimized Zr4Mo structure (PBE-GGA).

Structure (extended XYZ):
```
10
Lattice="0.0000 4.9819 4.9819 4.9819 0.0000 4.9819 4.9819 4.9819 0.0000" Properties=species:S:1:pos:R:3 pbc="T T T"
Zr 3.5496 3.5496 3.5496
Zr 6.0406 8.9052 6.0406
Zr 6.4142 6.4142 3.5496
Zr 8.9052 6.0406 6.0406
Zr 6.4142 3.5496 6.4142
Zr 3.5496 6.4142 6.4142
Zr 8.9052 8.9052 8.9052
Zr 6.0406 6.0406 8.9052
Mo 7.4729 7.4729 7.4729
Mo 4.9819 4.9819 4.9819
```

Space-group type: Fd-3m (227)
Magnetic moment: 0.0 μB/cell

(three)
Entry from the Alexandria database: a geometry-optimized Zr4Mo structure (PBE-GGA).

Structure (extended XYZ):
```
5
Lattice="2.0753 -5.0638 -0.0998 0.8307 2.2153 4.9358 -5.3726 -0.2096 -1.0251" Properties=species:S:1:pos:R:3 pbc="T T T"
Zr 1.0377 -2.5319 -0.0499
Zr -2.6863 -0.1048 -0.5125
Zr 0.4153 1.1076 2.4679
Zr -1.2333 -1.5291 1.9055
Mo 0.0000 0.0000 0.0000
```

Space-group type: Im-3m (229)
Magnetic moment: 0.0 μB/cell

Verdict on stability: (two) comes out at the bottom.

(one)
Entry from the Alexandria database: a geometry-optimized NaNbTe2N structure (PBE-GGA).

Structure (extended XYZ):
```
5
Lattice="-0.8153 1.2104 5.5015 -5.5910 -0.8522 -0.6410 0.4755 -3.8015 0.9069" Properties=species:S:1:pos:R:3 pbc="T T T"
Te -2.7955 -0.4261 -0.3205
Te -0.4076 0.6052 2.7507
N 0.2378 -1.9008 0.4534
Na -2.9654 -1.7217 2.8837
Nb 0.0000 0.0000 0.0000
```

Space-group type: P4/mmm (123)
Magnetic moment: 0.0 μB/cell

(two)
Entry from the Alexandria database: a geometry-optimized NaNbTe2N structure (PBE-GGA).

Structure (extended XYZ):
```
5
Lattice="-3.0327 4.0959 -2.0750 -0.5458 -2.7907 -4.7110 -3.3653 -1.7647 1.4353" Properties=species:S:1:pos:R:3 pbc="T T T"
Te -1.5164 2.0480 -1.0375
Te -0.2729 -1.3954 -2.3555
N -1.6827 -0.8823 0.7176
Na 0.0000 0.0000 0.0000
Nb -3.4719 -0.2297 -2.6753
```

Space-group type: P4/mmm (123)
Magnetic moment: 4.8 μB/cell

Verdict on stability: (two) comes out at the bottom.

(one)
Entry from the Alexandria database: a geometry-optimized NaNiN2 structure (PBE-GGA).

Structure (extended XYZ):
```
8
Lattice="-0.7653 4.7763 -2.3721 2.0705 -1.9423 -4.5789 -2.6307 0.3734 -4.5175" Properties=species:S:1:pos:R:3 pbc="T T T"
Na 0.6526 1.4170 -3.4755
Na 0.0462 -0.0760 -6.2860
Ni -1.3717 3.2834 -5.1826
Ni 0.0000 0.0000 0.0000
N -0.9591 3.3470 -3.4382
N 0.6226 -1.0348 -4.0338
N -1.7052 1.5507 -5.5047
N -0.6094 2.5519 -9.9604
```

Space-group type: I-42d (122)
Magnetic moment: 0.0 μB/cell

(two)
Entry from the Alexandria database: a geometry-optimized NaNiN2 structure (PBE-GGA).

Structure (extended XYZ):
```
4
Lattice="0.2104 -2.6972 2.5486 1.7204 0.6292 3.2340 -1.9758 0.2502 3.1382" Properties=species:S:1:pos:R:3 pbc="T T T"
N -0.0112 -0.4545 2.2302
N -0.0337 -1.3634 6.6906
Ni -0.0225 -0.9089 4.4604
Na 0.0000 0.0000 0.0000
```

Space-group type: Fm-3m (225)
Magnetic moment: 0.0 μB/cell

(three)
Entry from the Alexandria database: a geometry-optimized NaNiN2 structure (PBE-GGA).

Structure (extended XYZ):
```
4
Lattice="1.5664 0.0000 7.0761 -0.7832 1.3565 7.0761 -0.7832 -1.3565 7.0761" Properties=species:S:1:pos:R:3 pbc="T T T"
Ni 0.0000 0.0000 0.0000
N 0.0000 0.0000 1.7335
N 0.0000 0.0000 19.4947
Na 0.0000 0.0000 10.6141
```

Space-group type: R-3m (166)
Magnetic moment: 0.0 μB/cell

Verdict on stability: (three) comes out at the bottom.